Ho12Tm7In: optimized geometry, PBE-GGA.

Calculated values
crystal system	trigonal
SG	R-3 (148)
total magnetization	0.0	μB/f.u.
ΔH_f (0 K)	0.18	eV per atom

a = 8.5511 Å, b = 8.5511 Å, c = 8.5511 Å
α = 88.83°, β = 88.83°, γ = 88.83°
Last column: nearest neighbours and their distance in Å.
Element x y z (fractional)
Ho1 0.9995 0.1162 0.6452  2 Tm 3.17-3.46, 4 Ho 3.21-3.42
Ho2 0.0005 0.8838 0.3548  2 Tm 3.17-3.46, 4 Ho 3.21-3.42
Ho3 0.1162 0.6452 0.9995  2 Tm 3.17-3.46, 4 Ho 3.21-3.42
Ho4 0.2392 0.7558 0.6308  5 Ho 3.22-3.47, 1 In 3.29, 3 Tm 3.51-3.61
Ho5 0.2442 0.3692 0.7608  5 Ho 3.22-3.47, 1 In 3.29, 3 Tm 3.51-3.61
Ho6 0.3548 0.0005 0.8838  2 Tm 3.17-3.46, 4 Ho 3.21-3.42
Ho7 0.3692 0.7608 0.2442  5 Ho 3.22-3.47, 1 In 3.29, 3 Tm 3.51-3.61
Ho8 0.6308 0.2392 0.7558  5 Ho 3.22-3.47, 1 In 3.29, 3 Tm 3.51-3.61
Ho9 0.6452 0.9995 0.1162  2 Tm 3.17-3.46, 4 Ho 3.21-3.42
Ho10 0.7558 0.6308 0.2392  5 Ho 3.22-3.47, 1 In 3.29, 3 Tm 3.51-3.61
Ho11 0.7608 0.2442 0.3692  5 Ho 3.22-3.47, 1 In 3.29, 3 Tm 3.51-3.61
Ho12 0.8838 0.3548 0.0005  2 Tm 3.17-3.46, 4 Ho 3.21-3.42
Tm1 0.0000 0.0000 0.0000  6 Ho 3.17
Tm2 0.1165 0.4425 0.3533  3 Tm 3.32-3.49, 5 Ho 3.46-3.71, 1 In 3.58
Tm3 0.3533 0.1165 0.4425  3 Tm 3.32-3.49, 5 Ho 3.46-3.71, 1 In 3.58
Tm4 0.4425 0.3533 0.1165  3 Tm 3.32-3.49, 5 Ho 3.46-3.71, 1 In 3.58
Tm5 0.5575 0.6467 0.8835  3 Tm 3.32-3.49, 5 Ho 3.46-3.71, 1 In 3.58
Tm6 0.6467 0.8835 0.5575  3 Tm 3.32-3.49, 5 Ho 3.46-3.71, 1 In 3.58
Tm7 0.8835 0.5575 0.6467  3 Tm 3.32-3.49, 5 Ho 3.46-3.71, 1 In 3.58
In1 0.5000 0.5000 0.5000  6 Ho 3.29, 6 Tm 3.58